i:
Compound: PuFeNi2
Source: Alexandria via LeMat-Bulk
Functional: PBE
Structure: optimized geometry

Lattice parameters (Å, degrees): 2.8810 2.8810 7.0531 90.00 90.00 90.00
Fractional coordinates of all 4 atoms:
Pu 0.0000 0.0000 0.0000
Fe 0.0000 0.0000 0.5000
Ni 0.5000 0.5000 0.3078
Ni 0.5000 0.5000 0.6922

Total moment in Bohr magnetons per cell: 9.33

---

ii:
Compound: PuFeNi2
Source: Alexandria via LeMat-Bulk
Functional: PBE
Structure: optimized geometry

Lattice parameters (Å, degrees): 4.4209 4.4209 4.4209 60.00 60.00 60.00
Fractional coordinates of all 4 atoms:
Pu 0.0000 0.0000 0.0000
Fe 0.5000 0.5000 0.5000
Ni 0.2500 0.2500 0.2500
Ni 0.7500 0.7500 0.7500

Total moment in Bohr magnetons per cell: 7.57

---

Which structure wins on stability? i wins.

---

i:
Compound: RbFe2Ni
Source: Alexandria via LeMat-Bulk
Functional: PBE
Structure: optimized geometry

Lattice parameters (Å, degrees): 8.6999 8.6999 8.6999 146.39 146.39 48.27
Fractional coordinates of all 8 atoms:
Rb 0.3750 0.6250 0.7500
Rb 0.6250 0.3750 0.2500
Fe 0.0000 0.0000 0.0000
Fe 0.0000 0.0000 0.5000
Fe 0.0000 0.5000 0.0000
Fe 0.5000 0.0000 0.5000
Ni 0.1250 0.8750 0.2500
Ni 0.8750 0.1250 0.7500

Total moment in Bohr magnetons per cell: 13.45

---

ii:
Compound: RbFe2Ni
Source: Alexandria via LeMat-Bulk
Functional: PBE
Structure: optimized geometry

Lattice parameters (Å, degrees): 4.5952 4.5952 4.5952 60.00 60.00 60.00
Fractional coordinates of all 4 atoms:
Rb 0.0000 0.0000 0.0000
Fe 0.2500 0.2500 0.2500
Fe 0.7500 0.7500 0.7500
Ni 0.5000 0.5000 0.5000

Total moment in Bohr magnetons per cell: 6.02

---

Which structure wins on stability? i wins.

---

i:
Compound: FeReNi2
Source: Alexandria via LeMat-Bulk
Functional: PBE
Structure: optimized geometry

Lattice parameters (Å, degrees): 4.0608 4.0608 4.0608 60.00 60.00 60.00
Fractional coordinates of all 4 atoms:
Fe 0.0000 0.0000 0.0000
Re 0.5000 0.5000 0.5000
Ni 0.2500 0.2500 0.2500
Ni 0.7500 0.7500 0.7500

Total moment in Bohr magnetons per cell: 0.00

---

ii:
Compound: FeReNi2
Source: Alexandria via LeMat-Bulk
Functional: PBE
Structure: optimized geometry

Lattice parameters (Å, degrees): 6.1966 6.1966 6.1966 130.83 130.83 72.08
Fractional coordinates of all 8 atoms:
Fe 0.0000 0.0000 0.0000
Fe 0.7500 0.2500 0.5000
Re 0.2500 0.7500 0.5000
Re 0.5000 0.5000 0.0000
Ni 0.1030 0.6250 0.9780
Ni 0.3750 0.3530 0.4780
Ni 0.6470 0.1250 0.0220
Ni 0.8750 0.8970 0.5220

Total moment in Bohr magnetons per cell: 0.00

---

Which structure wins on stability? i wins.

---

i:
Compound: FeReNi2
Source: Alexandria via LeMat-Bulk
Functional: PBE
Structure: optimized geometry

Lattice parameters (Å, degrees): 4.0852 4.0852 4.0852 60.00 60.00 60.00
Fractional coordinates of all 4 atoms:
Fe 0.0000 0.0000 0.0000
Re 0.2500 0.2500 0.2500
Ni 0.5000 0.5000 0.5000
Ni 0.7500 0.7500 0.7500

Total moment in Bohr magnetons per cell: 2.17

---

ii:
Compound: FeReNi2
Source: Alexandria via LeMat-Bulk
Functional: PBE
Structure: optimized geometry

Lattice parameters (Å, degrees): 3.5291 3.5291 3.7581 90.00 90.00 90.00
Fractional coordinates of all 4 atoms:
Fe 0.0000 0.0000 0.0000
Re 0.5000 0.5000 0.0000
Ni 0.0000 0.5000 0.5000
Ni 0.5000 0.0000 0.5000

Total moment in Bohr magnetons per cell: 0.00

---

Which structure wins on stability? ii wins.

---

i:
Compound: FeRe2Ni
Source: Alexandria via LeMat-Bulk
Functional: PBE
Structure: optimized geometry

Lattice parameters (Å, degrees): 4.5627 4.5627 4.5627 131.70 131.70 70.70
Fractional coordinates of all 4 atoms:
Fe 0.0000 0.0000 0.0000
Re 0.2500 0.7500 0.5000
Re 0.7500 0.2500 0.5000
Ni 0.5000 0.5000 0.0000

Total moment in Bohr magnetons per cell: 1.48

---

ii:
Compound: FeRe2Ni
Source: Alexandria via LeMat-Bulk
Functional: PBE
Structure: optimized geometry

Lattice parameters (Å, degrees): 3.1258 3.1258 5.3529 90.00 90.00 90.00
Fractional coordinates of all 4 atoms:
Fe 0.0000 0.0000 0.0000
Re 0.5000 0.5000 0.2531
Re 0.5000 0.5000 0.7469
Ni 0.0000 0.0000 0.5000

Total moment in Bohr magnetons per cell: 2.14

---

iii:
Compound: FeRe2Ni
Source: Alexandria via LeMat-Bulk
Functional: PBE
Structure: optimized geometry

Lattice parameters (Å, degrees): 2.6136 4.0411 4.9999 90.00 104.94 90.00
Fractional coordinates of all 4 atoms:
Fe 0.0000 0.0000 0.0000
Re 0.3993 0.5000 0.7977
Re 0.7288 0.0000 0.4667
Ni 0.1295 0.5000 0.2652

Total moment in Bohr magnetons per cell: 0.00

---

Which structure wins on stability? iii wins.

---

i:
Compound: FeRe3Ni
Source: Alexandria via LeMat-Bulk
Functional: PBE
Structure: optimized geometry

Lattice parameters (Å, degrees): 4.3543 4.3543 4.3543 90.00 90.00 90.00
Fractional coordinates of all 5 atoms:
Fe 0.0000 0.0000 0.0000
Re 0.0000 0.5000 0.5000
Re 0.5000 0.0000 0.5000
Re 0.5000 0.5000 0.0000
Ni 0.5000 0.5000 0.5000

Total moment in Bohr magnetons per cell: 0.00

---

ii:
Compound: FeRe3Ni
Source: Alexandria via LeMat-Bulk
Functional: PBE
Structure: optimized geometry

Lattice parameters (Å, degrees): 4.3636 4.3636 4.3636 90.00 90.00 90.00
Fractional coordinates of all 5 atoms:
Fe 0.0000 0.0000 0.0000
Re 0.0000 0.0000 0.5000
Re 0.0000 0.5000 0.0000
Re 0.5000 0.0000 0.0000
Ni 0.5000 0.5000 0.5000

Total moment in Bohr magnetons per cell: 0.00

---

Which structure wins on stability? ii wins.

---

i:
Compound: FeReNi3
Source: Alexandria via LeMat-Bulk
Functional: PBE
Structure: optimized geometry

Lattice parameters (Å, degrees): 4.1850 4.1850 4.1850 90.00 90.00 90.00
Fractional coordinates of all 5 atoms:
Fe 0.0000 0.0000 0.0000
Re 0.5000 0.5000 0.5000
Ni 0.0000 0.0000 0.5000
Ni 0.0000 0.5000 0.0000
Ni 0.5000 0.0000 0.0000

Total moment in Bohr magnetons per cell: 7.09

---

ii:
Compound: FeReNi3
Source: Alexandria via LeMat-Bulk
Functional: PBE
Structure: optimized geometry

Lattice parameters (Å, degrees): 6.4693 6.4693 4.4907 105.46 105.46 42.19
Fractional coordinates of all 10 atoms:
Fe 0.0572 0.0572 0.2953
Fe 0.9428 0.9428 0.7047
Re 0.2972 0.2972 0.5966
Re 0.7028 0.7028 0.4034
Ni 0.0947 0.6027 0.1399
Ni 0.3973 0.9053 0.8601
Ni 0.5000 0.5000 0.0000
Ni 0.5000 0.5000 0.5000
Ni 0.6027 0.0947 0.1399
Ni 0.9053 0.3973 0.8601

Total moment in Bohr magnetons per cell: 7.73

---

Which structure wins on stability? ii wins.

---

i:
Compound: FeNi8Rh2
Source: Alexandria via LeMat-Bulk
Functional: PBE
Structure: optimized geometry

Lattice parameters (Å, degrees): 7.0641 7.0641 4.3712 107.80 107.80 124.38
Fractional coordinates of all 11 atoms:
Fe 0.0000 0.0000 0.0000
Ni 0.1040 0.3729 0.7348
Ni 0.1937 0.8063 0.0000
Ni 0.3729 0.1040 0.7348
Ni 0.4849 0.4849 0.2372
Ni 0.5151 0.5151 0.7628
Ni 0.6271 0.8960 0.2652
Ni 0.8063 0.1937 0.0000
Ni 0.8960 0.6271 0.2652
Rh 0.3161 0.6839 0.5000
Rh 0.6839 0.3161 0.5000

Total moment in Bohr magnetons per cell: 10.24

---

ii:
Compound: FeNi8Rh2
Source: Alexandria via LeMat-Bulk
Functional: PBE
Structure: optimized geometry

Lattice parameters (Å, degrees): 7.4942 7.4942 3.9787 92.00 92.00 37.16
Fractional coordinates of all 11 atoms:
Fe 0.0000 0.0000 0.0000
Ni 0.1399 0.6205 0.2624
Ni 0.1614 0.1614 0.2466
Ni 0.3795 0.8601 0.7376
Ni 0.4546 0.4546 0.7519
Ni 0.5454 0.5454 0.2481
Ni 0.6205 0.1399 0.2624
Ni 0.8386 0.8386 0.7534
Ni 0.8601 0.3795 0.7376
Rh 0.2771 0.2771 0.7642
Rh 0.7229 0.7229 0.2358

Total moment in Bohr magnetons per cell: 10.47

---

Which structure wins on stability? ii wins.

---

i:
Compound: Fe2Ni8Rh
Source: Alexandria via LeMat-Bulk
Functional: PBE
Structure: optimized geometry

Lattice parameters (Å, degrees): 6.6861 6.6861 5.6620 104.75 104.75 30.99
Fractional coordinates of all 11 atoms:
Fe 0.1401 0.1401 0.1875
Fe 0.8599 0.8599 0.8125
Ni 0.0472 0.0472 0.7232
Ni 0.2281 0.2281 0.6344
Ni 0.3165 0.3165 0.0946
Ni 0.4089 0.4089 0.5420
Ni 0.5911 0.5911 0.4580
Ni 0.6835 0.6835 0.9054
Ni 0.7719 0.7719 0.3656
Ni 0.9528 0.9528 0.2768
Rh 0.5000 0.5000 0.0000

Total moment in Bohr magnetons per cell: 11.43

---

ii:
Compound: Fe2Ni8Rh
Source: Alexandria via LeMat-Bulk
Functional: PBE
Structure: optimized geometry

Lattice parameters (Å, degrees): 7.0082 7.0082 7.0082 144.31 138.91 55.54
Fractional coordinates of all 11 atoms:
Fe 0.1842 0.1842 0.0000
Fe 0.8158 0.8158 0.0000
Ni 0.0000 0.2463 0.2463
Ni 0.0000 0.7537 0.7537
Ni 0.1304 0.3665 0.7640
Ni 0.2988 0.7988 0.5000
Ni 0.3975 0.6335 0.7640
Ni 0.6025 0.3665 0.2360
Ni 0.7012 0.2012 0.5000
Ni 0.8696 0.6335 0.2360
Rh 0.5000 0.0000 0.5000

Total moment in Bohr magnetons per cell: 11.67

---

Which structure wins on stability? i wins.

---

i:
Compound: FeNiRh3
Source: Alexandria via LeMat-Bulk
Functional: PBE
Structure: optimized geometry

Lattice parameters (Å, degrees): 4.3851 4.3851 4.3851 90.00 90.00 90.00
Fractional coordinates of all 5 atoms:
Fe 0.0000 0.0000 0.0000
Ni 0.5000 0.5000 0.5000
Rh 0.0000 0.0000 0.5000
Rh 0.0000 0.5000 0.0000
Rh 0.5000 0.0000 0.0000

Total moment in Bohr magnetons per cell: 0.00

---

ii:
Compound: FeNiRh3
Source: Alexandria via LeMat-Bulk
Functional: PBE
Structure: optimized geometry

Lattice parameters (Å, degrees): 4.9135 4.9135 4.9135 63.92 63.92 63.92
Fractional coordinates of all 5 atoms:
Fe 0.0000 0.0000 0.0000
Ni 0.5000 0.5000 0.5000
Rh 0.0000 0.5000 0.5000
Rh 0.5000 0.0000 0.5000
Rh 0.5000 0.5000 0.0000

Total moment in Bohr magnetons per cell: 5.96

---

Which structure wins on stability? ii wins.

---

i:
Compound: Fe2Ni15Rh2
Source: Alexandria via LeMat-Bulk
Functional: PBE
Structure: optimized geometry

Lattice parameters (Å, degrees): 6.2102 6.2102 6.2102 81.60 81.60 81.60
Fractional coordinates of all 19 atoms:
Fe 0.1091 0.1091 0.1091
Fe 0.8909 0.8909 0.8909
Ni 0.0000 0.5000 0.5000
Ni 0.1582 0.1582 0.6675
Ni 0.1582 0.6675 0.1582
Ni 0.1768 0.5000 0.8232
Ni 0.1768 0.8232 0.5000
Ni 0.3325 0.8418 0.8418
Ni 0.5000 0.0000 0.5000
Ni 0.5000 0.1768 0.8232
Ni 0.5000 0.5000 0.0000
Ni 0.5000 0.8232 0.1768
Ni 0.6675 0.1582 0.1582
Ni 0.8232 0.1768 0.5000
Ni 0.8232 0.5000 0.1768
Ni 0.8418 0.3325 0.8418
Ni 0.8418 0.8418 0.3325
Rh 0.4006 0.4006 0.4006
Rh 0.5994 0.5994 0.5994

Total moment in Bohr magnetons per cell: 0.37

---

ii:
Compound: Fe2Ni15Rh2
Source: Alexandria via LeMat-Bulk
Functional: PBE
Structure: optimized geometry

Lattice parameters (Å, degrees): 6.1913 6.1913 6.1913 81.74 81.74 81.74
Fractional coordinates of all 19 atoms:
Fe 0.1696 0.1696 0.1696
Fe 0.8304 0.8304 0.8304
Ni 0.0000 0.5000 0.5000
Ni 0.1534 0.1534 0.6683
Ni 0.1534 0.6683 0.1534
Ni 0.1803 0.5000 0.8197
Ni 0.1803 0.8197 0.5000
Ni 0.3317 0.8466 0.8466
Ni 0.5000 0.0000 0.5000
Ni 0.5000 0.1803 0.8197
Ni 0.5000 0.5000 0.0000
Ni 0.5000 0.8197 0.1803
Ni 0.6683 0.1534 0.1534
Ni 0.8197 0.1803 0.5000
Ni 0.8197 0.5000 0.1803
Ni 0.8466 0.3317 0.8466
Ni 0.8466 0.8466 0.3317
Rh 0.3976 0.3976 0.3976
Rh 0.6024 0.6024 0.6024

Total moment in Bohr magnetons per cell: 17.43

---

Which structure wins on stability? ii wins.

---

i:
Compound: Fe2Ni4Rh
Source: Alexandria via LeMat-Bulk
Functional: PBE
Structure: optimized geometry

Lattice parameters (Å, degrees): 8.9868 8.9868 8.9868 159.60 159.60 29.01
Fractional coordinates of all 7 atoms:
Fe 0.0866 0.0866 0.0000
Fe 0.9134 0.9134 0.0000
Ni 0.2500 0.7500 0.5000
Ni 0.3541 0.3541 0.0000
Ni 0.6459 0.6459 0.0000
Ni 0.7500 0.2500 0.5000
Rh 0.5000 0.5000 0.0000

Total moment in Bohr magnetons per cell: 9.64

---

ii:
Compound: Fe2Ni4Rh
Source: Alexandria via LeMat-Bulk
Functional: PBE
Structure: optimized geometry

Lattice parameters (Å, degrees): 4.1240 4.3342 5.7794 105.61 95.76 113.71
Fractional coordinates of all 7 atoms:
Fe 0.2492 0.4484 0.1506
Fe 0.7508 0.5516 0.8494
Ni 0.0000 0.5000 0.5000
Ni 0.0600 0.1109 0.7297
Ni 0.5000 0.0000 0.5000
Ni 0.9400 0.8891 0.2703
Rh 0.5000 0.0000 0.0000

Total moment in Bohr magnetons per cell: 9.54

---

Which structure wins on stability? ii wins.